1.
Here is a relaxed structure of Al2CuPd9 from the Alexandria database. Energies are from PBE-GGA.

Structure (extended XYZ):
```
12
Lattice="3.913 0.000 0.000 0.000 3.913 0.000 0.000 0.000 11.661" Properties=species:S:1:pos:R:3 pbc="T T T"
Al 0.000 0.000 1.973
Al 0.000 0.000 9.688
Cu 0.000 0.000 5.831
Pd 0.000 1.957 0.000
Pd 0.000 1.957 3.884
Pd 0.000 1.957 7.777
Pd 1.957 0.000 0.000
Pd 1.957 0.000 3.884
Pd 1.957 0.000 7.777
Pd 1.957 1.957 1.943
Pd 1.957 1.957 5.831
Pd 1.957 1.957 9.718
```

Calculated values
Volume in A^3/atom: 14.9
Fermi-level density of states in states/eV/cell: 16.62
Symmetry: P4/mmm

2.
Here is a relaxed structure of AlCu3Pd6 from the Alexandria database. Energies are from PBE-GGA.

Structure (extended XYZ):
```
20
Lattice="7.449 0.000 0.000 0.000 4.339 0.000 -2.515 0.000 8.831" Properties=species:S:1:pos:R:3 pbc="T T T"
Al -0.555 1.085 3.454
Al 5.490 3.254 5.376
Cu 1.799 1.085 0.089
Cu 0.653 3.254 7.073
Cu 1.883 1.085 5.348
Cu 3.051 3.254 3.482
Cu 4.282 1.085 1.758
Cu 3.136 3.254 8.742
Pd -1.768 3.254 7.885
Pd -0.620 1.085 6.103
Pd 0.653 3.254 1.747
Pd 0.510 3.254 4.477
Pd 1.888 1.085 2.766
Pd 3.194 3.254 0.848
Pd 1.741 1.085 7.982
Pd 3.047 3.254 6.065
Pd 4.424 1.085 4.354
Pd 4.281 1.085 7.084
Pd 5.554 3.254 2.728
Pd 6.703 1.085 0.946
```

Calculated values
Volume in A^3/atom: 14.3
Fermi-level density of states in states/eV/cell: 8.67
Energy above the most stable polymorph in this dataset in meV/atom: 0
Symmetry: P2_1/m

3.
Here is a relaxed structure of AlCuPd from the Alexandria database. Energies are from PBE-GGA.

Structure (extended XYZ):
```
6
Lattice="4.335 0.000 0.000 -2.167 4.325 0.000 -0.007 -2.595 4.441" Properties=species:S:1:pos:R:3 pbc="T T T"
Al -0.001 0.817 1.182
Al 2.161 0.912 3.259
Cu -0.006 2.308 3.300
Cu 2.167 -0.579 1.141
Pd -0.007 -0.484 3.404
Pd 2.167 2.214 1.037
```

Calculated values
Volume in A^3/atom: 13.9
Fermi-level density of states in states/eV/cell: 2.20
Energy above the most stable polymorph in this dataset in meV/atom: 60
Symmetry: P-1

4.
Here is a relaxed structure of AlCuPd2 from the Alexandria database. Energies are from PBE-GGA.

Structure (extended XYZ):
```
4
Lattice="4.024 0.000 0.000 0.000 4.024 0.000 0.000 0.000 3.465" Properties=species:S:1:pos:R:3 pbc="T T T"
Al 0.000 0.000 0.000
Cu 2.012 2.012 0.000
Pd 0.000 2.012 1.732
Pd 2.012 0.000 1.732
```

Calculated values
Volume in A^3/atom: 14.0
Fermi-level density of states in states/eV/cell: 0.55
Symmetry: P4/mmm

5.
Here is a relaxed structure of Al2CuPd3 from the Alexandria database. Energies are from PBE-GGA.

Structure (extended XYZ):
```
12
Lattice="-2.571 6.655 2.601 2.571 -6.655 2.601 2.571 6.655 -2.601" Properties=species:S:1:pos:R:3 pbc="T T T"
Al 1.159 1.799 0.000
Al 1.159 -1.799 2.601
Al 1.411 8.454 0.000
Al 1.411 4.856 2.601
Cu 2.571 0.000 1.300
Cu 0.000 6.655 1.300
Pd 3.660 2.373 0.000
Pd 0.000 0.000 1.300
Pd 1.089 4.282 0.000
Pd 1.482 2.373 2.601
Pd 0.000 0.000 3.901
Pd -1.089 4.282 2.601
```

Calculated values
Volume in A^3/atom: 14.8
Fermi-level density of states in states/eV/cell: 3.41
Energy above the most stable polymorph in this dataset in meV/atom: 48
Symmetry: Ibam

6.
Here is a relaxed structure of AlCuPd2 from the Alexandria database. Energies are from PBE-GGA.

Structure (extended XYZ):
```
4
Lattice="0.000 3.066 3.066 3.066 0.000 3.066 3.066 3.066 0.000" Properties=species:S:1:pos:R:3 pbc="T T T"
Al 0.000 0.000 0.000
Cu 4.598 4.598 4.598
Pd 1.533 1.533 1.533
Pd 3.066 3.066 3.066
```

Calculated values
Volume in A^3/atom: 14.4
Fermi-level density of states in states/eV/cell: 1.99
Symmetry: F-43m

7.
Here is a relaxed structure of Al2CuPd from the Alexandria database. Energies are from PBE-GGA.

Structure (extended XYZ):
```
4
Lattice="-1.378 2.326 5.064 1.378 -2.326 5.064 1.378 2.326 -5.064" Properties=species:S:1:pos:R:3 pbc="T T T"
Al 0.000 0.000 2.513
Al 0.000 0.000 7.616
Cu 0.000 0.000 5.064
Pd 0.000 0.000 0.000
```

Calculated values
Volume in A^3/atom: 16.2
Fermi-level density of states in states/eV/cell: 1.93
Symmetry: Immm

8.
Here is a relaxed structure of AlCuPd from the Alexandria database. Energies are from PBE-GGA.

Structure (extended XYZ):
```
3
Lattice="-1.535 1.535 4.386 1.535 -1.535 4.386 1.535 1.535 -4.386" Properties=species:S:1:pos:R:3 pbc="T T T"
Al 0.000 0.000 0.000
Cu 0.000 0.000 5.749
Pd 0.000 0.000 2.964
```

Calculated values
Volume in A^3/atom: 13.8
Fermi-level density of states in states/eV/cell: 1.17
Energy above the most stable polymorph in this dataset in meV/atom: 54
Symmetry: I4mm

9.
Here is a relaxed structure of AlCuPd6 from the Alexandria database. Energies are from PBE-GGA.

Structure (extended XYZ):
```
8
Lattice="4.636 0.000 0.000 0.108 5.186 0.000 0.041 0.528 5.177" Properties=species:S:1:pos:R:3 pbc="T T T"
Al 0.000 0.000 0.000
Cu 2.393 2.857 2.588
Pd 0.123 3.183 3.874
Pd 1.173 0.665 3.014
Pd 2.319 1.317 0.147
Pd 2.467 4.396 5.029
Pd 3.612 5.049 2.162
Pd 4.663 2.530 1.303
```

Calculated values
Volume in A^3/atom: 15.6
Fermi-level density of states in states/eV/cell: 7.77
Energy above the most stable polymorph in this dataset in meV/atom: 117
Symmetry: P-1

10.
Here is a relaxed structure of Al2CuPd from the Alexandria database. Energies are from PBE-GGA.

Structure (extended XYZ):
```
4
Lattice="4.185 0.000 0.000 0.000 4.185 0.000 0.000 0.000 3.196" Properties=species:S:1:pos:R:3 pbc="T T T"
Al 0.000 2.092 0.000
Al 2.092 0.000 0.000
Cu 0.000 0.000 1.598
Pd 2.092 2.092 1.598
```

Calculated values
Volume in A^3/atom: 14.0
Fermi-level density of states in states/eV/cell: 0.65
Symmetry: P4/mmm

11.
Here is a relaxed structure of AlCu5Pd2 from the Alexandria database. Energies are from PBE-GGA.

Structure (extended XYZ):
```
16
Lattice="5.304 0.000 0.000 0.000 10.579 0.000 0.000 0.000 3.728" Properties=species:S:1:pos:R:3 pbc="T T T"
Al 0.000 0.000 0.000
Al 2.652 5.289 0.000
Cu 0.000 5.289 0.000
Cu 0.122 2.653 0.000
Cu 1.200 6.675 1.864
Cu 1.453 1.385 1.864
Cu 2.530 7.942 0.000
Cu 2.652 0.000 0.000
Cu 2.774 2.637 0.000
Cu 3.852 9.193 1.864
Cu 4.105 3.904 1.864
Cu 5.182 7.926 0.000
Pd 1.203 9.326 1.864
Pd 1.449 4.037 1.864
Pd 3.855 6.542 1.864
Pd 4.102 1.253 1.864
```

Calculated values
Volume in A^3/atom: 13.1
Fermi-level density of states in states/eV/cell: 4.42
Symmetry: Pbam

12.
Here is a relaxed structure of Al2CuPd3 from the Alexandria database. Energies are from PBE-GGA.

Structure (extended XYZ):
```
6
Lattice="3.029 0.000 0.000 0.000 3.029 0.000 0.000 0.000 9.321" Properties=species:S:1:pos:R:3 pbc="T T T"
Al 0.000 0.000 1.610
Al 0.000 0.000 7.711
Cu 0.000 0.000 4.661
Pd 1.515 1.515 0.000
Pd 1.515 1.515 3.059
Pd 1.515 1.515 6.262
```

Calculated values
Volume in A^3/atom: 14.3
Fermi-level density of states in states/eV/cell: 2.90
Energy above the most stable polymorph in this dataset in meV/atom: 0
Symmetry: P4/mmm

no.,formation energy (meV per atom)
1,-412
2,-313
3,-510
4,-615
5,-640
6,-426
7,75
8,-516
9,-210
10,-545
11,-283
12,-687